Here is a relaxed structure of TaMo from Alexandria. Energies are from PBE-GGA.

## Properties
Formation energy from the elements = -33 kJ/mol of formula units
Energy = -11.52 eV per atom
Space group = No. 47

a b c (Å): 3.227 4.515 9.265
angles (deg): 90.00 90.00 90.00
Sites, in units of the cell vectors:
Ta 0.000 0.000 0.000
Ta 0.000 0.500 0.244
Ta 0.000 0.500 0.756
Ta 0.500 0.500 0.500
Mo 0.000 0.000 0.500
Mo 0.500 0.000 0.255
Mo 0.500 0.000 0.745
Mo 0.500 0.500 0.000

***

Here is a relaxed structure of LiTlCo2 from Alexandria. Energies are from PBE-GGA.

## Properties
Formation energy from the elements = 182 kJ/mol of formula units
Energy = -4.15 eV per atom
Space group = No. 65

a b c (Å): 4.727 4.727 2.884
angles (deg): 90.00 90.00 113.81
Sites, in units of the cell vectors:
Li 0.000 0.000 0.000
Tl 0.500 0.500 0.000
Co 0.000 0.500 0.500
Co 0.500 0.000 0.500

***

Here is a relaxed structure of MgCuTcSnOsC from Alexandria. Energies are from PBE-GGA.

## Properties
Formation energy from the elements = 148 kJ/mol of formula units
Energy = -6.50 eV per atom
Energy above the most stable polymorph in this dataset = 0.0306 eV/atom
Space group = No. 8

a b c (Å): 4.649 4.649 5.437
angles (deg): 105.65 105.65 56.53
Sites, in units of the cell vectors:
Mg 0.000 0.000 0.000
Cu 0.558 0.558 0.268
Tc 0.615 0.615 0.767
Sn 0.269 0.269 0.619
Os 0.919 0.919 0.459
C 0.752 0.752 0.119